Material: Ac2Mg3Au4
Method: DFT, GGA-PBE
State: optimized geometry

Computed properties:
Theoretical density in g cm⁻³: 9.96
Crystal system: orthorhombic
E in eV/atom: -3.55

abc: 8.8978 8.8978 8.2295
angles: 90.00 90.00 137.70
Last column: nearest neighbours and their distance in Å.
Fractional positions:
1 Ac 0.1121 0.8879 0.9144  8 Au 3.32-3.50, 4 Mg 3.55-3.62
2 Ac 0.3879 0.6121 0.4144  8 Au 3.32-3.50, 4 Mg 3.55-3.62
3 Ac 0.6121 0.3879 0.5856  8 Au 3.32-3.50, 4 Mg 3.55-3.62
4 Ac 0.8879 0.1121 0.0856  8 Au 3.32-3.50, 4 Mg 3.55-3.62
5 Mg 0.0000 0.0000 0.5000  4 Au 2.72
6 Mg 0.0349 0.4651 0.7500  5 Au 2.79-2.92
7 Mg 0.4651 0.0349 0.2500  5 Au 2.79-2.92
8 Mg 0.5000 0.5000 0.0000  4 Au 2.72
9 Mg 0.5349 0.9651 0.7500  5 Au 2.79-2.92
10 Mg 0.9651 0.5349 0.2500  5 Au 2.79-2.92
11 Au 0.1865 0.8135 0.5405  5 Mg 2.87-3.11
12 Au 0.2032 0.2968 0.7500  3 Mg 2.72-2.79
13 Au 0.2968 0.2032 0.2500  3 Mg 2.72-2.79
14 Au 0.3135 0.6865 0.0405  5 Mg 2.87-3.11
15 Au 0.6865 0.3135 0.9595  5 Mg 2.87-3.11
16 Au 0.7032 0.7968 0.7500  3 Mg 2.72-2.79
17 Au 0.7968 0.7032 0.2500  3 Mg 2.72-2.79
18 Au 0.8135 0.1865 0.4595  5 Mg 2.87-3.11